1.
Tb3NdEr6Tm2 after structural relaxation, computed with PBE.

Calculated values
The total magnetization comes out at 0.00 μB per atom. The energy of formation from the pure elements is 0.020 eV/atom. As for the symmetry: No. 12. The density is 8.75 Mg/m³.

a = 6.110 Å, b = 6.110 Å, c = 11.694 Å
α = 94.98°, β = 94.98°, γ = 119.95°
Fractional positions:
Er  0.251  0.251  0.750
Er  0.084  0.418  0.250
Er  0.749  0.749  0.250
Er  0.582  0.916  0.750
Er  0.418  0.084  0.250
Er  0.916  0.582  0.750
Tm  0.667  0.333  0.000
Tm  0.333  0.667  0.000
Tb  0.833  0.167  0.500
Tb  0.167  0.833  0.500
Tb  0.500  0.500  0.500
Nd  0.000  0.000  0.000

2.
CeNdErTm2 after structural relaxation, computed with PBE.

Calculated values
The total magnetization comes out at 0.00 μB per atom. The energy of formation from the pure elements is 0.300 eV/atom. As for the symmetry: No. 51. The density is 8.19 Mg/m³.

a = 7.335 Å, b = 7.555 Å, c = 5.778 Å
α = 89.99°, β = 90.00°, γ = 90.00°
Fractional positions:
Ce  0.000  0.000  0.000
Ce  0.000  0.000  0.500
Tm  0.674  0.713  0.750
Tm  0.326  0.713  0.250
Tm  0.326  0.287  0.250
Tm  0.674  0.287  0.750
Nd  0.162  0.500  0.750
Nd  0.838  0.500  0.250
Er  0.377  0.000  0.750
Er  0.623  0.000  0.250

3.
SrAl12Ag6 after structural relaxation, computed with PBE.

Calculated values
The total magnetization comes out at 0.00 μB per atom. The energy of formation from the pure elements is -0.003 eV/atom. As for the symmetry: No. 166. The density is 4.79 Mg/m³.

a = 7.444 Å, b = 7.444 Å, c = 7.444 Å
α = 104.12°, β = 104.12°, γ = 104.12°
Fractional positions:
Al  0.607  0.607  0.854
Al  0.146  0.393  0.393
Al  0.500  0.111  0.889
Al  0.607  0.854  0.607
Al  0.111  0.889  0.500
Al  0.111  0.500  0.889
Al  0.889  0.500  0.111
Al  0.854  0.607  0.607
Al  0.393  0.146  0.393
Al  0.393  0.393  0.146
Al  0.889  0.111  0.500
Al  0.500  0.889  0.111
Ag  0.283  0.283  0.718
Ag  0.718  0.283  0.283
Ag  0.717  0.282  0.717
Ag  0.282  0.717  0.717
Ag  0.717  0.717  0.282
Ag  0.283  0.718  0.283
Sr  0.000  0.000  0.000

4.
Dy8Ho6Tl after structural relaxation, computed with PBE.

Calculated values
The total magnetization comes out at 0.00 μB per atom. The energy of formation from the pure elements is 0.205 eV/atom. As for the symmetry: No. 147. The density is 8.56 Mg/m³.

a = 6.708 Å, b = 9.127 Å, c = 9.127 Å
α = 120.00°, β = 90.00°, γ = 90.00°
Fractional positions:
Dy  0.114  0.674  0.986
Dy  0.114  0.312  0.326
Dy  0.886  0.688  0.674
Dy  0.114  0.014  0.688
Dy  0.886  0.986  0.312
Dy  0.184  0.667  0.333
Dy  0.816  0.333  0.667
Dy  0.886  0.326  0.014
Ho  0.395  0.319  0.921
Ho  0.605  0.681  0.079
Ho  0.605  0.398  0.319
Ho  0.395  0.079  0.398
Ho  0.605  0.921  0.602
Ho  0.395  0.602  0.681
Tl  0.500  0.000  0.000

5.
Zn2CoNi9 after structural relaxation, computed with PBE.

Calculated values
The total magnetization comes out at 0.52 μB per atom. The energy of formation from the pure elements is -0.078 eV/atom. As for the symmetry: No. 123. The density is 8.82 Mg/m³.

a = 3.558 Å, b = 3.558 Å, c = 10.675 Å
α = 90.00°, β = 90.00°, γ = 90.00°
Site moments in Bohr magnetons follow the coordinates.
Fractional positions:
Ni  0.000  0.500  0.500  0.40
Ni  0.000  0.500  0.161  0.61
Ni  0.500  0.500  0.669  0.43
Ni  0.500  0.000  0.839  0.61
Ni  0.500  0.000  0.161  0.61
Ni  0.500  0.000  0.500  0.40
Ni  0.000  0.500  0.839  0.61
Ni  0.500  0.500  0.331  0.43
Ni  0.500  0.500  0.000  0.70
Zn  0.000  0.000  0.332  -0.03
Zn  0.000  0.000  0.668  -0.03
Co  0.000  0.000  0.000  1.78

6.
Pr2ErHfP4 after structural relaxation, computed with PBE.

Calculated values
The total magnetization comes out at 0.00 μB per atom. The energy of formation from the pure elements is -1.472 eV/atom. As for the symmetry: No. 10. The density is 6.86 Mg/m³.

a = 3.995 Å, b = 6.927 Å, c = 6.960 Å
α = 109.19°, β = 90.00°, γ = 90.00°
Fractional positions:
P  0.000  0.752  0.228
P  0.500  0.233  0.223
P  0.500  0.767  0.777
P  0.000  0.248  0.772
Pr  0.000  0.500  0.500
Pr  0.500  0.000  0.500
Er  0.500  0.500  0.000
Hf  0.000  0.000  0.000

7.
Rb2AgH after structural relaxation, computed with PBE.

Calculated values
The total magnetization comes out at 0.00 μB per atom. The value obtained for the energy relative to the lowest polymorph listed for this composition is 11 meV per atom. As for the symmetry: No. 122. The density is 2.90 Mg/m³.

a = 8.317 Å, b = 8.317 Å, c = 7.488 Å
α = 56.27°, β = 56.27°, γ = 90.00°
Fractional positions:
Rb  0.375  0.452  0.750
Rb  0.202  0.625  0.250
Rb  0.875  0.798  0.750
Rb  0.548  0.125  0.250
H  0.500  0.500  0.000
H  0.250  0.750  0.500
Ag  0.000  0.000  0.000
Ag  0.750  0.250  0.500

8.
ZnRe2Ni after structural relaxation, computed with PBE.

Calculated values
The total magnetization comes out at 0.00 μB per atom. The energy of formation from the pure elements is 0.146 eV/atom. As for the symmetry: No. 12. The density is 14.83 Mg/m³.

a = 4.724 Å, b = 4.724 Å, c = 4.614 Å
α = 79.73°, β = 79.73°, γ = 33.33°
Fractional positions:
Re  0.991  0.991  0.007
Re  0.509  0.509  0.493
Zn  0.750  0.750  0.750
Ni  0.250  0.250  0.250

9.
NbInAu2 after structural relaxation, computed with PBE.

Calculated values
The total magnetization comes out at 0.00 μB per atom. The energy of formation from the pure elements is 0.024 eV/atom. As for the symmetry: No. 166. The density is 12.93 Mg/m³.

a = 3.026 Å, b = 3.026 Å, c = 9.902 Å
α = 81.21°, β = 81.21°, γ = 60.00°
Fractional positions:
Au  0.746  0.746  0.761
Au  0.254  0.254  0.239
In  0.500  0.500  0.500
Nb  0.000  0.000  0.000

10.
Cd6CuAg8 after structural relaxation, computed with PBE.

Calculated values
The total magnetization comes out at 0.00 μB per atom. The value obtained for the energy relative to the lowest polymorph listed for this composition is 38 meV per atom. The energy of formation from the pure elements is 0.058 eV/atom. As for the symmetry: No. 162. The density is 8.57 Mg/m³.

a = 5.789 Å, b = 7.866 Å, c = 7.866 Å
α = 120.00°, β = 90.00°, γ = 90.00°
Fractional positions:
Cd  0.347  0.642  0.642
Cd  0.653  0.358  0.358
Cd  0.347  0.358  0.000
Cd  0.653  0.642  0.000
Cd  0.653  0.000  0.642
Cd  0.347  0.000  0.358
Ag  0.000  0.667  0.333
Ag  0.848  0.294  0.000
Ag  0.152  0.000  0.705
Ag  0.000  0.333  0.667
Ag  0.152  0.295  0.294
Ag  0.152  0.706  0.000
Ag  0.848  0.000  0.295
Ag  0.848  0.705  0.706
Cu  0.500  0.000  0.000

11.
NaCaO3 after structural relaxation, computed with PBE.

Calculated values
The total magnetization comes out at 0.60 μB per atom. Its uncorrected formation energy is -0.73 eV/atom. As for the symmetry: No. 221. The density is 2.82 Mg/m³.

a = 4.030 Å, b = 4.030 Å, c = 4.030 Å
α = 90.00°, β = 90.00°, γ = 90.00°
Site moments in Bohr magnetons follow the coordinates.
Fractional positions:
O  0.000  0.000  0.500  0.85
O  0.500  0.000  0.000  0.79
O  0.000  0.500  0.000  0.93
Ca  0.500  0.500  0.500  -0.03
Na  0.000  0.000  0.000  0.02

12.
Ta5NbTc6 after structural relaxation, computed with PBE.

Calculated values
The total magnetization comes out at 0.00 μB per atom. The energy of formation from the pure elements is -0.473 eV/atom. As for the symmetry: No. 71. The density is 13.55 Mg/m³.

a = 4.513 Å, b = 6.382 Å, c = 7.799 Å
α = 114.15°, β = 106.82°, γ = 90.00°
Fractional positions:
Tc  0.833  0.083  0.666
Tc  0.167  0.417  0.334
Tc  0.500  0.250  0.000
Tc  0.167  0.917  0.334
Tc  0.500  0.750  0.000
Tc  0.833  0.583  0.666
Ta  0.667  0.167  0.334
Ta  0.333  0.333  0.667
Ta  0.667  0.667  0.333
Ta  0.333  0.833  0.666
Ta  0.000  0.500  0.000
Nb  0.000  0.000  0.000